No. 1
Density functional theory data (PBE) for crystalline LiNb6S8 at its relaxed geometry.

formation energy without anion corrections: -976 meV per atom

abc: 9.6506 9.6506 11.3428
angles: 90.00 90.00 120.00
Last column: nearest neighbours and their distance in Å.
Space group R-3 (No. 148, hexagonal axes)
Asymmetric unit:
Li  0.0000  0.0000  0.0000  2 S 2.46
Nb  0.0171  0.1795  0.3836  5 S 2.49-2.57
S  0.0000  0.0000  0.2166  1 Li 2.46, 3 Nb 2.52
S  0.0237  0.3090  0.5767  4 Nb 2.49-2.57

***

No. 2
Density functional theory data (PBE) for crystalline LiNb2S at its relaxed geometry.

formation energy without anion corrections: 165 meV per atom
ΔE to the lowest computed polymorph: 92.2 meV per atom

abc: 6.1740 6.1740 6.1740
angles: 90.00 90.00 90.00
Last column: nearest neighbours and their distance in Å.
Space group Fm-3m (No. 225)
Asymmetric unit:
Li  0.0000  0.0000  0.0000  8 Nb 2.67
Nb  0.2500  0.2500  0.2500  4 S 2.67, 4 Li 2.67
S  0.0000  0.0000  0.5000  8 Nb 2.67

***

No. 3
Density functional theory data (PBE) for crystalline LiNb2S at its relaxed geometry.

formation energy without anion corrections: 73 meV per atom
ΔE to the lowest computed polymorph: 0.0 meV per atom

abc: 3.7667 3.7667 19.0828
angles: 90.00 90.00 90.00
Last column: nearest neighbours and their distance in Å.
Space group I-42d (No. 122)
Asymmetric unit:
Li  0.0000  0.0000  0.0000  4 S 2.66, 4 Nb 2.75
Nb  0.2391  0.2500  0.6250  4 Nb 2.61-2.72, 2 S 2.72, 2 Li 2.75
S  0.0000  0.0000  0.5000  4 Li 2.66, 4 Nb 2.72

***

No. 4
Density functional theory data (PBE) for crystalline Li3NbS4 at its relaxed geometry.

formation energy without anion corrections: -1145 meV per atom
ΔE to the lowest computed polymorph: 6.8 meV per atom

abc: 6.1048 6.1048 6.1048
angles: 90.00 90.00 90.00
Last column: nearest neighbours and their distance in Å.
Space group P-43m (No. 215)
Asymmetric unit:
Li  0.0000  0.0000  0.5000  4 S 2.55
Nb  0.0000  0.0000  0.0000  4 S 2.29
S  0.2164  0.2164  0.2164  1 Nb 2.29, 3 Li 2.55

***

One value per record, in order, for mass density: 4.47; 6.35; 5.52; 1.77 g cm⁻³.